The following is a DFT calculation (PBE) of crystalline Co at its relaxed geometry.

Lattice parameters (Å, degrees): 7.828 7.828 9.500 90.00 90.00 120.00
Sites, in units of the cell vectors:
1 Co 0.485 0.515 0.850
2 Co 0.515 0.031 0.093
3 Co 0.515 0.485 0.350
4 Co 0.031 0.515 0.593
5 Co 0.225 0.775 0.220
6 Co 0.667 0.333 0.222
7 Co 0.166 0.834 0.456
8 Co 0.000 0.000 0.842
9 Co 0.515 0.485 0.093
10 Co 0.667 0.333 0.505
11 Co 0.165 0.835 0.985
12 Co 0.834 0.669 0.956
13 Co 0.331 0.165 0.485
14 Co 0.485 0.971 0.850
15 Co 0.667 0.333 0.935
16 Co 0.333 0.667 0.005
17 Co 0.225 0.449 0.220
18 Co 0.029 0.515 0.850
19 Co 0.971 0.485 0.350
20 Co 0.669 0.834 0.456
21 Co 0.449 0.225 0.720
22 Co 0.000 0.000 0.096
23 Co 0.775 0.225 0.720
24 Co 0.515 0.029 0.350
25 Co 0.775 0.551 0.720
26 Co 0.842 0.684 0.220
27 Co 0.000 0.000 0.342
28 Co 0.165 0.331 0.985
29 Co 0.158 0.842 0.720
30 Co 0.158 0.316 0.720
31 Co 0.316 0.158 0.220
32 Co 0.834 0.166 0.956
33 Co 0.969 0.485 0.093
34 Co 0.000 0.000 0.596
35 Co 0.835 0.165 0.485
36 Co 0.333 0.667 0.435
37 Co 0.835 0.669 0.485
38 Co 0.485 0.969 0.593
39 Co 0.331 0.166 0.956
40 Co 0.333 0.667 0.722
41 Co 0.485 0.515 0.593
42 Co 0.551 0.775 0.220
43 Co 0.842 0.158 0.220
44 Co 0.669 0.835 0.985
45 Co 0.166 0.331 0.456
46 Co 0.684 0.842 0.720

Computed properties:
DFT formation energy	0.0858	eV/atom
total moment	75.39	μB per cell
energy	-7.0207	eV/atom
theoretical density	8.9	Mg/m³
space-group type	P6_3mc (186)